Entry 1:
# LiCo2Ru | Alexandria | PBE-GGA | relaxed
# ΔH_f (0 K) ... 0.222 eV/atom
# Crystal system ... monoclinic
# Calculated volume ... 47.2 Å³/f.u.
# Distance to the lowest polymorph of the same formula ... 0.185 eV/f.u.
data_LiCo2Ru
_cell_length_a 2.519
_cell_length_b 3.854
_cell_length_c 4.917
_cell_angle_alpha 90.00
_cell_angle_beta 98.42
_cell_angle_gamma 90.00
_symmetry_space_group_name_H-M 'P 1 2/m 1'
_symmetry_Int_Tables_number 10
loop_
_symmetry_equiv_pos_as_xyz
'x,y,z'
'-x,-y,-z'
'-x,y,-z'
'x,-y,z'
loop_
_atom_site_label
_atom_site_fract_x
_atom_site_fract_y
_atom_site_fract_z
Li1 0.000 0.000 0.000
Co1 0.459 0.500 0.246
Ru1 0.000 0.000 0.500


Entry 2:
# LiCoRu2 | Alexandria | PBE-GGA | relaxed
# ΔH_f (0 K) ... 0.298 eV/atom
# Crystal system ... monoclinic
# Calculated volume ... 52.0 Å³/f.u.
# Distance to the lowest polymorph of the same formula ... 0.349 eV/f.u.
data_LiCoRu2
_cell_length_a 2.590
_cell_length_b 4.258
_cell_length_c 4.726
_cell_angle_alpha 90.00
_cell_angle_beta 94.49
_cell_angle_gamma 90.00
_symmetry_space_group_name_H-M 'P 1 2/m 1'
_symmetry_Int_Tables_number 10
loop_
_symmetry_equiv_pos_as_xyz
'x,y,z'
'-x,-y,-z'
'-x,y,-z'
'x,-y,z'
loop_
_atom_site_label
_atom_site_fract_x
_atom_site_fract_y
_atom_site_fract_z
Li1 0.000 0.000 0.000
Co1 0.500 0.000 0.500
Ru1 0.252 0.500 0.754


Entry 3:
# LiCo2Ru | Alexandria | PBE-GGA | relaxed
# ΔH_f (0 K) ... 0.237 eV/atom
# Crystal system ... monoclinic
# Calculated volume ... 47.6 Å³/f.u.
# Distance to the lowest polymorph of the same formula ... 0.245 eV/f.u.
data_LiCo2Ru
_cell_length_a 8.542
_cell_length_b 2.494
_cell_length_c 4.501
_cell_angle_alpha 90.00
_cell_angle_beta 96.64
_cell_angle_gamma 90.00
_symmetry_space_group_name_H-M 'C 1 2/m 1'
_symmetry_Int_Tables_number 12
loop_
_symmetry_equiv_pos_as_xyz
'x,y,z'
'-x,-y,-z'
'-x,y,-z'
'x,-y,z'
'x+1/2,y+1/2,z'
'-x+1/2,-y+1/2,-z'
'-x+1/2,y+1/2,-z'
'x+1/2,-y+1/2,z'
loop_
_atom_site_label
_atom_site_fract_x
_atom_site_fract_y
_atom_site_fract_z
Li1 0.000 0.000 0.000
Co1 0.245 0.000 0.751
Ru1 0.000 0.500 0.500


Entry 4:
# LiCoRu | Alexandria | PBE-GGA | relaxed
# ΔH_f (0 K) ... 0.696 eV/atom
# Crystal system ... cubic
# Calculated volume ... 41.8 Å³/f.u.
# Distance to the lowest polymorph of the same formula ... 1.674 eV/f.u.
data_LiCoRu
_cell_length_a 5.509
_cell_length_b 5.509
_cell_length_c 5.509
_cell_angle_alpha 90.00
_cell_angle_beta 90.00
_cell_angle_gamma 90.00
_symmetry_space_group_name_H-M 'F -4 3 m'
_symmetry_Int_Tables_number 216
_symmetry_space_group_name_Hall 'F -4 2 3'
loop_
_atom_site_label
_atom_site_fract_x
_atom_site_fract_y
_atom_site_fract_z
Li1 0.000 0.000 0.000
Co1 0.000 0.000 0.500
Ru1 0.250 0.250 0.750


Entry 5:
# LiCoRu2 | Alexandria | PBE-GGA | relaxed
# ΔH_f (0 K) ... 0.241 eV/atom
# Crystal system ... tetragonal
# Calculated volume ... 50.2 Å³/f.u.
# Distance to the lowest polymorph of the same formula ... 0.119 eV/f.u.
data_LiCoRu2
_cell_length_a 3.731
_cell_length_b 3.731
_cell_length_c 7.205
_cell_angle_alpha 90.00
_cell_angle_beta 90.00
_cell_angle_gamma 90.00
_symmetry_space_group_name_H-M 'I -4 m 2'
_symmetry_Int_Tables_number 119
_symmetry_space_group_name_Hall 'I -4 -2'
loop_
_atom_site_label
_atom_site_fract_x
_atom_site_fract_y
_atom_site_fract_z
Li1 0.000 0.000 0.000
Co1 0.000 0.500 0.250
Ru1 0.000 0.000 0.500
Ru2 0.000 0.500 0.750


Entry 6:
# LiCoRu | Alexandria | PBE-GGA | relaxed
# ΔH_f (0 K) ... 0.178 eV/atom
# Crystal system ... monoclinic
# Calculated volume ... 36.6 Å³/f.u.
# Distance to the lowest polymorph of the same formula ... 0.118 eV/f.u.
data_LiCoRu
_cell_length_a 7.647
_cell_length_b 3.836
_cell_length_c 5.122
_cell_angle_alpha 90.00
_cell_angle_beta 102.74
_cell_angle_gamma 90.00
_symmetry_space_group_name_H-M 'C 1 2/m 1'
_symmetry_Int_Tables_number 12
loop_
_symmetry_equiv_pos_as_xyz
'x,y,z'
'-x,-y,-z'
'-x,y,-z'
'x,-y,z'
'x+1/2,y+1/2,z'
'-x+1/2,-y+1/2,-z'
'-x+1/2,y+1/2,-z'
'x+1/2,-y+1/2,z'
loop_
_atom_site_label
_atom_site_fract_x
_atom_site_fract_y
_atom_site_fract_z
Li1 0.003 0.000 0.234
Co1 0.182 0.500 0.080
Ru1 0.165 0.500 0.582


Entry 7:
# LiCoRu2 | Alexandria | PBE-GGA | relaxed
# ΔH_f (0 K) ... 0.220 eV/atom
# Crystal system ... orthorhombic
# Calculated volume ... 54.1 Å³/f.u.
# Distance to the lowest polymorph of the same formula ... 0.037 eV/f.u.
data_LiCoRu2
_cell_length_a 2.650
_cell_length_b 4.289
_cell_length_c 9.526
_cell_angle_alpha 90.00
_cell_angle_beta 90.00
_cell_angle_gamma 90.00
_symmetry_space_group_name_H-M 'I m m m'
_symmetry_Int_Tables_number 71
_symmetry_space_group_name_Hall '-I 2 2'
loop_
_atom_site_label
_atom_site_fract_x
_atom_site_fract_y
_atom_site_fract_z
Li1 0.000 0.000 0.000
Co1 0.000 0.000 0.500
Ru1 0.000 0.500 0.214


Entry 8:
# LiCoRu | Alexandria | PBE-GGA | relaxed
# ΔH_f (0 K) ... 0.244 eV/atom
# Crystal system ... trigonal
# Calculated volume ... 37.4 Å³/f.u.
# Distance to the lowest polymorph of the same formula ... 0.317 eV/f.u.
data_LiCoRu
_cell_length_a 4.1757
_cell_length_b 4.1757
_cell_length_c 2.4739
_cell_angle_alpha 90.00
_cell_angle_beta 90.00
_cell_angle_gamma 120.00
_symmetry_space_group_name_H-M 'P 3 m 1'
_symmetry_Int_Tables_number 156
loop_
_symmetry_equiv_pos_as_xyz
'x,y,z'
'-y,x-y,z'
'-x+y,-x,z'
'-y,-x,z'
'-x+y,y,z'
'x,x-y,z'
loop_
_atom_site_label
_atom_site_fract_x
_atom_site_fract_y
_atom_site_fract_z
Li1 0.0000 0.0000 0.0000
Co1 0.3333 0.6667 0.7121
Ru1 0.6667 0.3333 0.3841


Entry 9:
# LiCo2Ru2 | Alexandria | PBE-GGA | relaxed
# ΔH_f (0 K) ... 0.271 eV/atom
# Crystal system ... tetragonal
# Calculated volume ... 67.5 Å³/f.u.
# Distance to the lowest polymorph of the same formula ... 0.135 eV/f.u.
data_LiCo2Ru2
_cell_length_a 7.242
_cell_length_b 7.242
_cell_length_c 2.575
_cell_angle_alpha 90.00
_cell_angle_beta 90.00
_cell_angle_gamma 90.00
_symmetry_space_group_name_H-M 'P 4/m b m'
_symmetry_Int_Tables_number 127
_symmetry_space_group_name_Hall '-P 4 2ab'
loop_
_atom_site_label
_atom_site_fract_x
_atom_site_fract_y
_atom_site_fract_z
Li1 0.000 0.000 0.000
Co1 0.169 0.331 0.500
Ru1 0.126 0.626 0.000


Entry 10:
# LiCoRu2 | Alexandria | PBE-GGA | relaxed
# ΔH_f (0 K) ... 0.310 eV/atom
# Crystal system ... cubic
# Calculated volume ... 49.0 Å³/f.u.
# Distance to the lowest polymorph of the same formula ... 0.395 eV/f.u.
data_LiCoRu2
_cell_length_a 5.809
_cell_length_b 5.809
_cell_length_c 5.809
_cell_angle_alpha 90.00
_cell_angle_beta 90.00
_cell_angle_gamma 90.00
_symmetry_space_group_name_H-M 'F m -3 m'
_symmetry_Int_Tables_number 225
_symmetry_space_group_name_Hall '-F 4 2 3'
loop_
_atom_site_label
_atom_site_fract_x
_atom_site_fract_y
_atom_site_fract_z
Li1 0.000 0.000 0.000
Co1 0.000 0.000 0.500
Ru1 0.250 0.250 0.250


Entry 11:
# LiCoRu2 | Alexandria | PBE-GGA | relaxed
# ΔH_f (0 K) ... 0.211 eV/atom
# Crystal system ... trigonal
# Calculated volume ... 53.0 Å³/f.u.
# Distance to the lowest polymorph of the same formula ... 0.000 eV/f.u.
data_LiCoRu2
_cell_length_a 2.6515
_cell_length_b 2.6515
_cell_length_c 26.1286
_cell_angle_alpha 90.00
_cell_angle_beta 90.00
_cell_angle_gamma 120.00
_symmetry_space_group_name_H-M 'R -3 m'
_symmetry_Int_Tables_number 166
_symmetry_space_group_name_Hall '-R 3 2"'
loop_
_atom_site_label
_atom_site_fract_x
_atom_site_fract_y
_atom_site_fract_z
Li1 0.0000 0.0000 0.0000
Co1 0.0000 0.0000 0.5000
Ru1 0.0000 0.0000 0.2447


Entry 12:
# LiCo2Ru | Alexandria | PBE-GGA | relaxed
# ΔH_f (0 K) ... 0.263 eV/atom
# Crystal system ... tetragonal
# Calculated volume ... 45.8 Å³/f.u.
# Distance to the lowest polymorph of the same formula ... 0.351 eV/f.u.
data_LiCo2Ru
_cell_length_a 3.542
_cell_length_b 3.542
_cell_length_c 7.303
_cell_angle_alpha 90.00
_cell_angle_beta 90.00
_cell_angle_gamma 90.00
_symmetry_space_group_name_H-M 'I -4 m 2'
_symmetry_Int_Tables_number 119
_symmetry_space_group_name_Hall 'I -4 -2'
loop_
_atom_site_label
_atom_site_fract_x
_atom_site_fract_y
_atom_site_fract_z
Li1 0.000 0.000 0.000
Co1 0.000 0.000 0.500
Co2 0.000 0.500 0.250
Ru1 0.000 0.500 0.750


Entry 13:
# LiCo2Ru | Alexandria | PBE-GGA | relaxed
# ΔH_f (0 K) ... 0.221 eV/atom
# Crystal system ... orthorhombic
# Calculated volume ... 47.0 Å³/f.u.
# Distance to the lowest polymorph of the same formula ... 0.182 eV/f.u.
data_LiCo2Ru
_cell_length_a 2.541
_cell_length_b 3.771
_cell_length_c 4.906
_cell_angle_alpha 90.00
_cell_angle_beta 90.00
_cell_angle_gamma 90.00
_symmetry_space_group_name_H-M 'P m m m'
_symmetry_Int_Tables_number 47
loop_
_symmetry_equiv_pos_as_xyz
'x,y,z'
'-x,-y,-z'
'-x,-y,z'
'x,y,-z'
'x,-y,-z'
'-x,y,z'
'-x,y,-z'
'x,-y,z'
loop_
_atom_site_label
_atom_site_fract_x
_atom_site_fract_y
_atom_site_fract_z
Li1 0.000 0.000 0.000
Co1 0.500 0.500 0.247
Ru1 0.000 0.000 0.500


Entry 14:
# LiCo2Ru | Alexandria | PBE-GGA | relaxed
# ΔH_f (0 K) ... 0.274 eV/atom
# Crystal system ... orthorhombic
# Calculated volume ... 47.7 Å³/f.u.
# Distance to the lowest polymorph of the same formula ... 0.395 eV/f.u.
data_LiCo2Ru
_cell_length_a 2.590
_cell_length_b 4.227
_cell_length_c 4.353
_cell_angle_alpha 90.00
_cell_angle_beta 90.00
_cell_angle_gamma 90.00
_symmetry_space_group_name_H-M 'P m m m'
_symmetry_Int_Tables_number 47
loop_
_symmetry_equiv_pos_as_xyz
'x,y,z'
'-x,-y,-z'
'-x,-y,z'
'x,y,-z'
'x,-y,-z'
'-x,y,z'
'-x,y,-z'
'x,-y,z'
loop_
_atom_site_label
_atom_site_fract_x
_atom_site_fract_y
_atom_site_fract_z
Li1 0.000 0.000 0.000
Co1 0.000 0.500 0.500
Co2 0.500 0.000 0.500
Ru1 0.500 0.500 0.000